VASP calculation (SCAN) on OsPb2W at its PBEsol-relaxed geometry.

a b c (Å): 3.0938 3.0938 9.0603
angles (deg): 90.00 90.00 90.00
Closest atoms and distances in Å follow each position.
Positions (direct):
Os 0.5000 0.5000 0.7030  4 W 2.58
Pb 0.0000 0.0000 0.9434  4 Os 3.09, 4 Pb 3.09
Pb 0.5000 0.5000 0.3012  4 Pb 3.09, 4 W 3.16
W 0.0000 0.0000 0.5524  4 Os 2.58

Calculated values
Energy, eV per formula unit: -291.6
DOS(E_F), states/eV/cell: 1.45
Volume, Å³ per atom: 21.7
Total magnetization, μB per cell: 0.000


VASP calculation (SCAN) on MgZr4P at its PBEsol-relaxed geometry.

a b c (Å): 5.6537 5.6537 5.6537
angles (deg): 60.00 60.00 60.00
Closest atoms and distances in Å follow each position.
Positions (direct):
Mg 0.2500 0.2500 0.2500  12 Zr 3.31, 4 P 3.46
P 0.0000 0.0000 0.0000  12 Zr 3.32, 4 Mg 3.46
Zr 0.6234 0.6234 0.6234  6 Zr 2.79-2.86
Zr 0.6234 0.1297 0.6234  6 Zr 2.79-2.86
Zr 0.1297 0.6234 0.6234  6 Zr 2.79-2.86
Zr 0.6234 0.6234 0.1297  6 Zr 2.79-2.86

Calculated values
Energy, eV per formula unit: -135.5
DOS(E_F), states/eV/cell: 6.22
Volume, Å³ per atom: 21.3
Total magnetization, μB per cell: 0.000


VASP calculation (SCAN) on LaMoP3 at its PBEsol-relaxed geometry.

a b c (Å): 4.6609 4.6609 4.6609
angles (deg): 90.00 90.00 90.00
Closest atoms and distances in Å follow each position.
Positions (direct):
P 0.0000 0.5000 0.0000  2 Mo 2.33
P 0.0000 0.0000 0.5000  2 Mo 2.33
P 0.5000 0.0000 0.0000  2 Mo 2.33
Mo 0.0000 0.0000 0.0000  6 P 2.33
La 0.5000 0.5000 0.5000  12 P 3.30

Calculated values
Energy, eV per formula unit: -111.6
DOS(E_F), states/eV/cell: 3.88
Volume, Å³ per atom: 20.3
Total magnetization, μB per cell: 0.000


VASP calculation (SCAN) on LiBeSi2 at its PBEsol-relaxed geometry.

a b c (Å): 2.9674 2.9674 6.0828
angles (deg): 90.00 90.00 90.00
Closest atoms and distances in Å follow each position.
Positions (direct):
Be 0.5000 0.5000 0.0000  8 Si 2.43
Si 0.0000 0.0000 0.7975  4 Be 2.43, 1 Si 2.46
Si 0.0000 0.0000 0.2025  4 Be 2.43, 1 Si 2.46
Li 0.5000 0.5000 0.5000  8 Si 2.77, 4 Li 2.97, 2 Be 3.04

Calculated values
Energy, eV per formula unit: -25.7
DOS(E_F), states/eV/cell: 0.89
Volume, Å³ per atom: 13.4
ΔE_f (raw), eV per atom: 0.263
Total magnetization, μB per cell: 0.000


VASP calculation (SCAN) on NaMoN2 at its PBEsol-relaxed geometry.

a b c (Å): 3.0616 3.0616 7.0953
angles (deg): 77.54 77.54 60.00
Closest atoms and distances in Å follow each position.
Positions (direct):
Na 0.5000 0.5000 0.5000  6 N 2.39
Mo 0.0000 0.0000 0.0000  2 N 1.82
N 0.9117 0.9117 0.2650  1 Mo 1.82
N 0.0883 0.0883 0.7350  1 Mo 1.82

Calculated values
Energy, eV per formula unit: -54.3
DOS(E_F), states/eV/cell: 1.65
Volume, Å³ per atom: 13.9
ΔE_f (raw), eV per atom: 0.845
Energy relative to the lowest polymorph listed for this composition, meV/atom: 1343
Total magnetization, μB per cell: 1.935


VASP calculation (SCAN) on Ca2MoPt at its PBEsol-relaxed geometry.

a b c (Å): 3.2396 3.2396 8.9764
angles (deg): 90.00 90.00 90.00
Closest atoms and distances in Å follow each position.
Positions (direct):
Mo 0.0000 0.0000 0.5576  4 Pt 2.63
Ca 0.0000 0.0000 0.9296  4 Pt 3.08, 4 Ca 3.24, 1 Mo 3.34
Ca 0.5000 0.5000 0.3117  4 Mo 3.18, 4 Ca 3.24, 1 Pt 3.49
Pt 0.5000 0.5000 0.7011  4 Mo 2.63

Calculated values
Energy, eV per formula unit: -124.2
DOS(E_F), states/eV/cell: 1.95
Volume, Å³ per atom: 23.6
Energy relative to the lowest polymorph listed for this composition, meV/atom: 0
Total magnetization, μB per cell: 0.070